[1]
Density functional theory data (PBE-GGA) for a relaxed structure of Ca3Ce2HoP6.

Computed properties:
**ρ**: 4.3 g cm⁻³
**Formation energy from the elements**: -1270.1 meV/atom
**VASP energy**: -70.2 eV per cell

a b c (Å): 7.129 7.129 7.055
angles (deg): 99.70 99.70 120.03
Sites, in units of the cell vectors:
Ca1 0.000 0.000 0.000
Ca2 0.334 0.666 0.000
Ca3 0.666 0.334 0.000
Ce1 0.167 0.833 0.500
Ce2 0.833 0.167 0.500
Ho1 0.500 0.500 0.500
P1 0.088 0.422 0.267
P2 0.244 0.244 0.734
P3 0.422 0.088 0.267
P4 0.578 0.912 0.733
P5 0.756 0.756 0.266
P6 0.912 0.578 0.733

[2]
Density functional theory data (PBE-GGA) for a relaxed structure of CuMoRh2.

Computed properties:
**ρ**: 10.6 g cm⁻³
**Formation energy from the elements**: -49.1 meV/atom
**VASP energy**: -89.5 eV per cell
**Polymorph energy (0 for the lowest one)**: 86 meV per atom

a b c (Å): 2.764 2.764 25.962
angles (deg): 90.00 90.00 120.00
Sites, in units of the cell vectors:
Cu1 0.000 0.000 0.000
Cu2 0.333 0.667 0.667
Cu3 0.667 0.333 0.333
Mo1 0.000 0.000 0.500
Mo2 0.333 0.667 0.167
Mo3 0.667 0.333 0.833
Rh1 0.000 0.000 0.250
Rh2 0.000 0.000 0.750
Rh3 0.333 0.667 0.417
Rh4 0.333 0.667 0.917
Rh5 0.667 0.333 0.083
Rh6 0.667 0.333 0.583

[3]
Density functional theory data (PBE-GGA) for a relaxed structure of MnBeIn2.

Computed properties:
**ρ**: 6.8 g cm⁻³
**Formation energy from the elements**: 283.2 meV/atom
**VASP energy**: -17.2 eV per cell

a b c (Å): 3.018 3.018 7.873
angles (deg): 90.00 90.00 90.00
Sites, in units of the cell vectors:
Mn1 0.000 0.000 0.000
Be1 0.500 0.500 0.139
In1 0.000 0.000 0.388
In2 0.500 0.500 0.749

> ρ of number 3 (MnBeIn2)?

6.8 g cm⁻³

> Look up the ρ of the second one.

10.6 g cm⁻³